## Th4MnPd (PBE)

Data for Th4MnPd after structural relaxation.

Cell lengths 7.2203, 7.2203, 5.9384 Å; angles 90.00, 90.00, 90.00 degrees
Last column: nearest neighbours and their distance in Å.
Space group P4/mcc (No. 124)
Inequivalent atoms, fractional coordinates:
Th  0.1563  0.3225  0.0000 (multiplicity 8)  2 Mn 2.98, 2 Pd 3.16
Mn  0.0000  0.0000  0.2500 (multiplicity 2)  2 Mn 2.97, 8 Th 2.98
Pd  0.5000  0.5000  0.2500 (multiplicity 2)  2 Pd 2.97, 8 Th 3.16

Calculated values
- Formation energy: -229 meV per atom
- Magnetization: 1.24 μB per formula unit

## NaThB12 (PBE)

Data for NaThB12 after structural relaxation.

Cell lengths 4.1304, 4.1304, 8.2921 Å; angles 90.00, 90.00, 90.00 degrees
Last column: nearest neighbours and their distance in Å.
Space group P4/mmm (No. 123)
Inequivalent atoms, fractional coordinates:
Na  0.0000  0.0000  0.0000 (multiplicity 1)  24 B 3.04-3.05
Th  0.0000  0.0000  0.5000 (multiplicity 1)  24 B 3.03
B  0.2005  0.5000  0.2518 (multiplicity 8)  5 B 1.66-1.76
B  0.5000  0.5000  0.1011 (multiplicity 2)  5 B 1.68-1.76
B  0.5000  0.5000  0.4011 (multiplicity 2)  5 B 1.64-1.75

Calculated values
- Formation energy: -336 meV per atom
- Magnetization: 0.00 μB per formula unit

## Ir2AuSe (PBE)

Data for Ir2AuSe after structural relaxation.

Cell lengths 10.1800, 2.8879, 5.4869 Å; angles 90.00, 118.39, 90.00 degrees
Last column: nearest neighbours and their distance in Å.
Space group Cm (No. 8)
Inequivalent atoms, fractional coordinates:
Ir  0.0000  0.0000  0.0000 (multiplicity 2)  2 Se 2.50, 2 Ir 2.63
Ir  0.2163  0.5000  0.0008 (multiplicity 2)  2 Se 2.51, 2 Ir 2.63
Au  0.4653  0.0000  0.4319 (multiplicity 2)  3 Se 2.88-3.18, 2 Au 2.89, 5 Ir 2.90-2.95
Se  0.2816  0.0000  0.7004 (multiplicity 2)  4 Ir 2.50-2.51

Calculated values
- VASP energy: -45.616 eV/cell
- Magnetization: 0.00 μB per formula unit

## Li2ScCd3 (PBE)

Data for Li2ScCd3 after structural relaxation.

Cell lengths 3.3437, 3.3437, 10.4433 Å; angles 90.00, 90.00, 90.00 degrees
Last column: nearest neighbours and their distance in Å.
Space group P4/mmm (No. 123)
Inequivalent atoms, fractional coordinates:
Li  0.0000  0.0000  0.1579 (multiplicity 2)  8 Cd 2.84-2.88
Sc  0.0000  0.0000  0.5000 (multiplicity 1)  8 Cd 3.09, 4 Sc 3.34
Cd  0.5000  0.5000  0.0000 (multiplicity 1)  8 Li 2.88
Cd  0.5000  0.5000  0.3092 (multiplicity 2)  4 Li 2.84, 4 Sc 3.09

Calculated values
- Formation energy: -263 meV per atom
- Magnetization: 0.20 μB per formula unit

## Nd4TmSn (PBE)

Data for Nd4TmSn after structural relaxation.

Cell lengths 5.4859, 23.5141, 6.8073 Å; angles 90.00, 90.00, 90.00 degrees
Last column: nearest neighbours and their distance in Å.
Space group Cmcm (No. 63)
Inequivalent atoms, fractional coordinates:
Nd  0.0000  0.0797  0.2500 (multiplicity 4)  2 Nd 3.31, 3 Tm 3.38-3.42, 2 Sn 3.44
Nd  0.0000  0.2008  0.0027 (multiplicity 8)  3 Sn 3.31-3.53, 7 Nd 3.31-3.59, 1 Tm 3.65
Nd  0.0000  0.3542  0.2500 (multiplicity 4)  2 Tm 3.35, 2 Sn 3.44, 4 Nd 3.49
Tm  0.0000  0.0640  0.7500 (multiplicity 4)  7 Nd 3.35-3.65
Sn  0.0000  0.3317  0.7500 (multiplicity 4)  10 Nd 3.31-3.53

Calculated values
- Formation energy: 64 meV per atom
- Magnetization: 0.00 μB per formula unit

## KCaCl2 (PBE)

Data for KCaCl2 after structural relaxation.

Cell lengths 4.0370, 4.0370, 24.6178 Å; angles 90.00, 90.00, 120.00 degrees
Last column: nearest neighbours and their distance in Å.
Space group R-3m (No. 166, hexagonal axes)
Inequivalent atoms, fractional coordinates:
K  0.0000  0.0000  0.0000 (multiplicity 3)  6 Cl 3.13
Ca  0.0000  0.0000  0.5000 (multiplicity 3)  6 Cl 3.08
Cl  0.0000  0.0000  0.2486 (multiplicity 6)  3 Ca 3.08, 3 K 3.13

Calculated values
- Relative energy among the computed polymorphs: 0.113 eV per atom
- Magnetization: 0.70 μB per formula unit

no.,V (Å³ per cell)
1,309.59
2,141.47
3,141.91
4,116.76
5,878.12
6,347.46